Compound: LaAg3S
Source: Alexandria via LeMat-Bulk
Functional: meta-GGA SCAN
Structure: PBEsol geometry

Summary:
Uncorrected formation energy ... 1.33 eV per atom
Total DFT energy (no corrections) ... -140.18 eV/cell

Unit cell a=5.4485 b=5.4485 c=5.4485 alpha=90.00 beta=90.00 gamma=90.00
With the nearest neighbours (Å) after each atom.
Space group Pm-3m (No. 221)
Unique sites:
La: 0.0000 0.0000 0.0000 [1 per cell]  6 Ag 2.72
Ag: 0.0000 0.0000 0.5000 [3 per cell]  2 La 2.72
S: 0.5000 0.5000 0.5000 [1 per cell]  12 Ag 3.85

Compound: Zn2Ir
Source: Alexandria via LeMat-Bulk
Functional: meta-GGA SCAN
Structure: PBEsol geometry

Summary:
Total DFT energy (no corrections) ... -197.30 eV/cell
DFT formation energy ... -0.5 eV per formula unit

Unit cell a=2.8602 b=3.5916 c=7.9547 alpha=90.00 beta=90.00 gamma=90.00
With the nearest neighbours (Å) after each atom.
Space group Immm (No. 71)
Unique sites:
Zn: 0.0000 0.0000 0.1623 [4 per cell]  7 Zn 2.58-2.86, 5 Ir 2.63-2.69
Ir: 0.0000 0.0000 0.5000 [2 per cell]  10 Zn 2.63-2.69, 2 Ir 2.86

Compound: MnNi6Au
Source: Alexandria via LeMat-Bulk
Functional: meta-GGA SCAN
Structure: PBEsol geometry

Summary:
Total DFT energy (no corrections) ... -1480.91 eV/cell
DFT formation energy ... -0.7 eV per formula unit

Unit cell a=7.1398 b=10.1207 c=10.1246 alpha=90.00 beta=90.00 gamma=90.00
With the nearest neighbours (Å) after each atom.
Space group Cmmm (No. 65)
Unique sites:
Mn: 0.0000 0.0000 0.2461 [4 per cell]  12 Ni 2.48-2.57
Mn: 0.0000 0.2496 0.0000 [4 per cell]  12 Ni 2.45-2.53
Ni: 0.0000 0.0000 0.0000 [2 per cell]  4 Mn 2.49-2.53, 8 Ni 2.49
Ni: 0.0000 0.0000 0.5000 [2 per cell]  8 Ni 2.51, 2 Au 2.55, 2 Mn 2.57
Ni: 0.0000 0.2456 0.2424 [8 per cell]  2 Mn 2.45-2.49, 8 Ni 2.46-2.60, 2 Au 2.58-2.61
Ni: 0.0000 0.5000 0.0000 [2 per cell]  2 Au 2.52, 2 Mn 2.53, 8 Ni 2.54
Ni: 0.0000 0.5000 0.5000 [2 per cell]  4 Au 2.51-2.55, 8 Ni 2.58
Ni: 0.2435 0.1234 0.3701 [16 per cell]  1 Mn 2.48, 8 Ni 2.49-2.63, 3 Au 2.54-2.59
Ni: 0.2455 0.1267 0.1208 [16 per cell]  8 Ni 2.45-2.57, 3 Mn 2.47-2.52, 1 Au 2.57
Au: 0.0000 0.2516 0.5000 [4 per cell]  12 Ni 2.51-2.61
Au: 0.0000 0.5000 0.2485 [4 per cell]  12 Ni 2.52-2.58

Compound: Ta2FeNi
Source: Alexandria via LeMat-Bulk
Functional: meta-GGA SCAN
Structure: PBEsol geometry

Summary:
Total DFT energy (no corrections) ... -335.42 eV/cell
DFT formation energy ... -0.2 eV per formula unit

Unit cell a=3.9675 b=3.9675 c=7.0004 alpha=90.00 beta=90.00 gamma=90.00
With the nearest neighbours (Å) after each atom.
Space group I4/mmm (No. 139)
Unique sites:
Ta: 0.0000 0.5000 0.2500 [4 per cell]  4 Fe 2.65, 4 Ni 2.65, 4 Ta 2.81
Fe: 0.0000 0.0000 0.0000 [2 per cell]  8 Ta 2.65, 4 Ni 2.81
Ni: 0.0000 0.0000 0.5000 [2 per cell]  8 Ta 2.65, 4 Fe 2.81

Compound: BaBiTe2Ru
Source: Alexandria via LeMat-Bulk
Functional: meta-GGA SCAN
Structure: PBEsol geometry

Summary:
Uncorrected formation energy ... 1.43 eV per atom
Total DFT energy (no corrections) ... -220.32 eV/cell

Unit cell a=6.1779 b=6.1779 c=6.1700 alpha=90.00 beta=90.00 gamma=90.00
With the nearest neighbours (Å) after each atom.
Space group P4/mmm (No. 123)
Unique sites:
Ba: 0.0000 0.0000 0.0000 [1 per cell]  2 Bi 3.09, 4 Te 3.09
Bi: 0.0000 0.0000 0.5000 [1 per cell]  2 Ba 3.09
Te: 0.0000 0.5000 0.0000 [2 per cell]  2 Ba 3.09
Ru: 0.5000 0.5000 0.5000 [1 per cell]  8 Te 4.37, 4 Bi 4.37

Compound: PAu3N
Source: Alexandria via LeMat-Bulk
Functional: meta-GGA SCAN
Structure: PBEsol geometry

Summary:
Uncorrected formation energy ... 1.11 eV per atom
Total DFT energy (no corrections) ... -221.59 eV/cell

Unit cell a=4.3094 b=4.3094 c=4.3094 alpha=90.00 beta=90.00 gamma=90.00
With the nearest neighbours (Å) after each atom.
Space group Pm-3m (No. 221)
Unique sites:
P: 0.0000 0.0000 0.0000 [1 per cell]  12 Au 3.05
Au: 0.0000 0.5000 0.5000 [3 per cell]  2 N 2.15
N: 0.5000 0.5000 0.5000 [1 per cell]  6 Au 2.15

Compound: CaTl2Cl
Source: Alexandria via LeMat-Bulk
Functional: meta-GGA SCAN
Structure: PBEsol geometry

Summary:
Uncorrected formation energy ... -0.69 eV per atom
Total DFT energy (no corrections) ... -165.10 eV/cell
E above lowest polymorph ... 129 meV/atom

Unit cell a=3.7280 b=5.4711 c=5.6882 alpha=90.00 beta=90.00 gamma=90.00
With the nearest neighbours (Å) after each atom.
Space group Pmmm (No. 47)
Unique sites:
Ca: 0.0000 0.0000 0.0000 [1 per cell]  2 Cl 2.84
Tl: 0.5000 0.5000 0.2479 [2 per cell]  2 Tl 2.82-2.87
Cl: 0.0000 0.0000 0.5000 [1 per cell]  2 Ca 2.84

Compound: ZrPIrO2
Source: Alexandria via LeMat-Bulk
Functional: meta-GGA SCAN
Structure: PBEsol geometry

Summary:
Uncorrected formation energy ... -0.59 eV per atom
Total DFT energy (no corrections) ... -127.60 eV/cell

Unit cell a=3.8636 b=3.8636 c=4.7098 alpha=90.00 beta=90.00 gamma=90.00
With the nearest neighbours (Å) after each atom.
Space group P4/mmm (No. 123)
Unique sites:
Zr: 0.0000 0.0000 0.0000 [1 per cell]  4 P 2.73, 8 O 3.05
P: 0.5000 0.5000 0.0000 [1 per cell]  2 Ir 2.35
Ir: 0.5000 0.5000 0.5000 [1 per cell]  4 O 1.93
O: 0.0000 0.5000 0.5000 [2 per cell]  2 Ir 1.93

Compound: HfP2H6O10
Source: Alexandria via LeMat-Bulk
Functional: meta-GGA SCAN
Structure: PBEsol geometry

Summary:
Total DFT energy (no corrections) ... -410.90 eV/cell

Unit cell a=5.3652 b=6.5830 c=12.1984 alpha=90.00 beta=102.33 gamma=90.00
With the nearest neighbours (Å) after each atom.
Space group P2_1 (No. 4)
Unique sites:
Hf: 0.1783 0.0000 0.3702 [2 per cell]  6 O 2.01-2.12
P: 0.2391 0.4995 0.4411 [2 per cell]  4 O 1.53-1.55
P: 0.3944 0.5996 0.8045 [2 per cell]  4 O 1.53-1.56
H: 0.0195 0.5911 0.8959 [2 per cell]  1 O 1.00
H: 0.0760 0.6462 0.0277 [2 per cell]  1 O 1.01
H: 0.1024 0.4009 0.1198 [2 per cell]  1 O 1.00
H: 0.1546 0.5726 0.2182 [2 per cell]  1 O 0.99
H: 0.3144 0.0919 0.0463 [2 per cell]  1 O 1.03
H: 0.4657 0.4190 0.1870 [2 per cell]  1 O 1.04
O: 0.0437 0.1730 0.0467 [2 per cell]  2 H 1.00-1.01
O: 0.0765 0.5042 0.5305 [2 per cell]  1 P 1.54
O: 0.1221 0.5135 0.7742 [2 per cell]  1 P 1.54
O: 0.1767 0.6851 0.3618 [2 per cell]  1 P 1.55
O: 0.1798 0.3089 0.3683 [2 per cell]  1 P 1.53
O: 0.2035 0.5256 0.1482 [2 per cell]  2 H 0.99-1.00
O: 0.3696 0.8343 0.7876 [2 per cell]  1 H 1.04
O: 0.4256 0.0071 0.2634 [2 per cell]  1 P 1.53
O: 0.4766 0.0016 0.5017 [2 per cell]  1 P 1.54
O: 0.4963 0.5479 0.9313 [2 per cell]  1 H 1.03

Compound: BeTl2Pb
Source: Alexandria via LeMat-Bulk
Functional: meta-GGA SCAN
Structure: PBEsol geometry

Summary:
Total DFT energy (no corrections) ... -447.08 eV/cell
DFT formation energy ... 1.3 eV per formula unit
E above lowest polymorph ... 0 meV/atom

Unit cell a=4.3084 b=5.2156 c=8.5385 alpha=90.00 beta=90.00 gamma=90.00
With the nearest neighbours (Å) after each atom.
Space group Cmm2 (No. 35)
Unique sites:
Be: 0.0000 0.0000 0.0000 [2 per cell]  2 Tl 2.70, 2 Pb 2.75
Tl: 0.0000 0.0000 0.5148 [2 per cell]  8 Tl 3.31-3.62, 2 Pb 3.45
Tl: 0.0000 0.5000 0.8093 [2 per cell]  2 Be 2.70
Pb: 0.0000 0.5000 0.1993 [2 per cell]  2 Be 2.75

Compound: BeFeNi3
Source: Alexandria via LeMat-Bulk
Functional: meta-GGA SCAN
Structure: PBEsol geometry

Summary:
Total DFT energy (no corrections) ... -69.30 eV/cell
DFT formation energy ... 1.7 eV per formula unit

Unit cell a=3.8021 b=3.8021 c=3.8021 alpha=90.00 beta=90.00 gamma=90.00
With the nearest neighbours (Å) after each atom.
Space group Pm-3m (No. 221)
Unique sites:
Be: 0.0000 0.0000 0.0000 [1 per cell]  6 Ni 1.90
Fe: 0.5000 0.5000 0.5000 [1 per cell]  12 Ni 2.69
Ni: 0.0000 0.0000 0.5000 [3 per cell]  2 Be 1.90

Compound: MgMnN2F
Source: Alexandria via LeMat-Bulk
Functional: meta-GGA SCAN
Structure: PBEsol geometry

Summary:
Uncorrected formation energy ... -0.11 eV per atom
Total DFT energy (no corrections) ... -45.89 eV/cell

Unit cell a=4.0388 b=4.0388 c=3.6065 alpha=90.00 beta=90.00 gamma=90.00
With the nearest neighbours (Å) after each atom.
Space group P4/mmm (No. 123)
Unique sites:
Mg: 0.0000 0.0000 0.0000 [1 per cell]  2 F 1.80, 4 N 2.02
Mn: 0.5000 0.5000 0.5000 [1 per cell]  8 N 2.71, 4 F 2.86
N: 0.0000 0.5000 0.0000 [2 per cell]  2 Mg 2.02
F: 0.0000 0.0000 0.5000 [1 per cell]  2 Mg 1.80